# 1
Compound: InSbF6
Source: Alexandria via LeMat-Bulk
Functional: PBE
Structure: relaxed

**Energy relative to the elements, uncorrected**: -2396 meV/atom
**N(E_F)**: 0.00 states/eV per atom

```
data_InSbF6
_cell_length_a 9.262
_cell_length_b 6.219
_cell_length_c 5.603
_cell_angle_alpha 90.00
_cell_angle_beta 120.01
_cell_angle_gamma 90.00
_space_group_name_H-M_alt 'C 1 2/m 1'
_space_group_IT_number 12
loop_
_space_group_symop_operation_xyz
'x,y,z'
'-x,-y,-z'
'-x,y,-z'
'x,-y,z'
'x+1/2,y+1/2,z'
'-x+1/2,-y+1/2,-z'
'-x+1/2,y+1/2,-z'
'x+1/2,-y+1/2,z'
loop_
_atom_site_label
_atom_site_fract_x
_atom_site_fract_y
_atom_site_fract_z
In1 0.000 0.000 0.000
Sb1 0.000 0.500 0.500
F1 0.063 0.241 0.302
F2 0.246 0.500 0.884
```


# 2
Compound: InSbF
Source: Alexandria via LeMat-Bulk
Functional: PBE
Structure: relaxed

**Energy relative to the elements, uncorrected**: -1063 meV/atom
**N(E_F)**: 0.03 states/eV per atom

```
data_InSbF
_cell_length_a 5.645
_cell_length_b 7.342
_cell_length_c 9.560
_cell_angle_alpha 90.00
_cell_angle_beta 125.11
_cell_angle_gamma 90.00
_space_group_name_H-M_alt 'P 1 21/c 1'
_space_group_IT_number 14
loop_
_space_group_symop_operation_xyz
'x,y,z'
'-x,-y,-z'
'-x,y+1/2,-z+1/2'
'x,-y+1/2,z+1/2'
loop_
_atom_site_label
_atom_site_fract_x
_atom_site_fract_y
_atom_site_fract_z
In1 0.073 0.207 0.116
Sb1 0.402 0.551 0.101
F1 0.101 0.083 0.914
```